Below is TbHfSb2O after structural relaxation, with properties calculated at the GGA-PBE level.

Computed properties:
raw formation energy	-1.424	eV/atom
SG	P4/nmm, No. 129
DOS at the Fermi energy	0.45	states/eV/atom
total magnetization	0.0	Bohr magnetons per cell

Geometry as POSCAR:
```
TbHfSb2O
1.0
3.945 0.000 0.000
0.000 3.945 0.000
0.000 0.000 15.859
Tb Hf Sb O
2 2 4 2
Direct
0.250 0.250 0.070
0.750 0.750 0.930
0.250 0.250 0.617
0.750 0.750 0.383
0.250 0.250 0.422
0.250 0.250 0.795
0.750 0.750 0.205
0.750 0.750 0.578
0.250 0.750 0.000
0.750 0.250 0.000
```

---

Below is ZrScP2 after structural relaxation, with properties calculated at the GGA-PBE level.

Computed properties:
polymorph energy (0 for the lowest one)	6.408	kcal/mol of atoms
SG	Imm2, No. 44
DOS at the Fermi energy	0.76	states/eV/atom
formation energy from the elements	-1.1579	eV per atom
total magnetization	0.0	Bohr magnetons per cell

Geometry as POSCAR:
```
ZrScP2
1.0
-1.735 1.743 6.308
1.735 -1.743 6.308
1.735 1.743 -6.308
Zr Sc P
1 1 2
Direct
0.000 0.000 0.000
0.747 0.247 0.500
0.159 0.659 0.500
0.411 0.411 0.000
```

---

Below is Ba2BeP after structural relaxation, with properties calculated at the GGA-PBE level.

Computed properties:
polymorph energy (0 for the lowest one)	9.114	kcal/mol of atoms
SG	C2/m, No. 12
DOS at the Fermi energy	0.78	states/eV/atom
formation energy from the elements	-0.0435	eV per atom
total magnetization	0.0	Bohr magnetons per cell

Geometry as POSCAR:
```
Ba2BeP
1.0
4.042 -2.333 0.000
4.042 2.333 0.000
-2.680 0.000 8.154
Ba Be P
2 1 1
Direct
0.237 0.237 0.211
0.763 0.763 0.789
0.000 0.000 0.500
0.500 0.500 0.000
```

---

Below is PmScAg after structural relaxation, with properties calculated at the GGA-PBE level.

Computed properties:
polymorph energy (0 for the lowest one)	2.661	kcal/mol of atoms
SG	P3m1, No. 156
DOS at the Fermi energy	1.11	states/eV/atom
formation energy from the elements	-0.0384	eV per atom
total magnetization	0.0	Bohr magnetons per cell

Geometry as POSCAR:
```
PmScAg
1.0
4.909 0.000 0.000
-2.454 4.251 0.000
0.000 0.000 3.714
Pm Sc Ag
1 1 1
Direct
0.000 0.000 0.000
0.333 0.667 0.499
0.667 0.333 0.506
```

---

Below is AcYHgSb after structural relaxation, with properties calculated at the GGA-PBE level.

Computed properties:
raw formation energy	-0.611	eV/atom
SG	F-43m, No. 216
DOS at the Fermi energy	1.09	states/eV/atom
total magnetization	0.0	Bohr magnetons per cell

Geometry as POSCAR:
```
AcYHgSb
1.0
0.000 3.921 3.921
3.921 0.000 3.921
3.921 3.921 0.000
Ac Y Hg Sb
1 1 1 1
Direct
0.000 0.000 0.000
0.500 0.500 0.500
0.750 0.750 0.750
0.250 0.250 0.250
```

---

Below is CaBe2CdAu5 after structural relaxation, with properties calculated at the GGA-PBE level.

Computed properties:
SG	P4/mmm, No. 123
DOS at the Fermi energy	0.34	states/eV/atom
formation energy from the elements	-0.2503	eV per atom
total magnetization	0.0	Bohr magnetons per cell

Geometry as POSCAR:
```
CaBe2CdAu5
1.0
4.646 0.000 0.000
0.000 4.646 0.000
0.000 0.000 7.534
Ca Be Cd Au
1 2 1 5
Direct
0.000 0.000 0.000
0.500 0.500 0.328
0.500 0.500 0.672
0.000 0.000 0.500
0.000 0.500 0.271
0.000 0.500 0.729
0.500 0.000 0.271
0.500 0.000 0.729
0.500 0.500 0.000
```

---

Below is Li2AcF6 after structural relaxation, with properties calculated at the GGA-PBE level.

Computed properties:
raw formation energy	-3.081	eV/atom
SG	P-31m, No. 162
DOS at the Fermi energy	1.06	states/eV/atom
total magnetization	1.1	Bohr magnetons per cell

Geometry as POSCAR:
```
Li2AcF6
1.0
5.233 0.000 0.000
-2.616 4.532 0.000
0.000 0.000 5.221
Li Ac F
2 1 6
Direct
0.333 0.667 0.000
0.667 0.333 0.000
0.000 0.000 0.500
0.000 0.367 0.221
0.000 0.633 0.779
0.367 0.000 0.221
0.367 0.367 0.779
0.633 0.000 0.779
0.633 0.633 0.221
```

---

Repeat the sixth record exactly.
Below is CaBe2CdAu5 after structural relaxation, with properties calculated at the GGA-PBE level.

Computed properties:
SG	P4/mmm, No. 123
DOS at the Fermi energy	0.34	states/eV/atom
formation energy from the elements	-0.2503	eV per atom
total magnetization	0.0	Bohr magnetons per cell

Geometry as POSCAR:
```
CaBe2CdAu5
1.0
4.646 0.000 0.000
0.000 4.646 0.000
0.000 0.000 7.534
Ca Be Cd Au
1 2 1 5
Direct
0.000 0.000 0.000
0.500 0.500 0.328
0.500 0.500 0.672
0.000 0.000 0.500
0.000 0.500 0.271
0.000 0.500 0.729
0.500 0.000 0.271
0.500 0.000 0.729
0.500 0.500 0.000
```